# 1
Compound: Pr2Ho3Tm6Sc
Source: Alexandria via LeMat-Bulk
Functional: PBE
Structure: optimized geometry

Results
As for the energy of formation: 3 kJ/mol of atoms.

```
data_Pr2Ho3Tm6Sc
_chemical_formula_sum 'Pr4 Ho6 Tm12 Sc2'
_symmetry_space_group_name_H-M 'C 1 2/m 1'
_symmetry_Int_Tables_number 12
_symmetry_space_group_name_Hall '-C 2y'
_cell_length_a 6.085
_cell_length_b 10.533
_cell_length_c 11.657
_cell_angle_alpha 90.00
_cell_angle_beta 99.99
_cell_angle_gamma 90.00
loop_
_atom_site_label
_atom_site_fract_x
_atom_site_fract_y
_atom_site_fract_z
_atom_site_occupancy
Pr1 0.000 0.166 0.000 1
Ho1 0.000 0.000 0.500 1
Ho2 0.000 0.334 0.500 1
Tm1 0.246 0.500 0.748 1
Tm2 0.249 0.335 0.252 1
Sc1 0.000 0.500 0.000 1
```

# 2
Compound: PrHo2Tm2Sc2
Source: Alexandria via LeMat-Bulk
Functional: PBE
Structure: optimized geometry

Results
As for the energy of formation: 18 kJ/mol of atoms.

```
data_PrHo2Tm2Sc2
_chemical_formula_sum 'Pr2 Ho4 Tm4 Sc4'
_symmetry_space_group_name_H-M 'C 1 2/m 1'
_symmetry_Int_Tables_number 12
_symmetry_space_group_name_Hall '-C 2y'
_cell_length_a 17.194
_cell_length_b 3.382
_cell_length_c 8.162
_cell_angle_alpha 90.00
_cell_angle_beta 116.48
_cell_angle_gamma 90.00
loop_
_atom_site_label
_atom_site_fract_x
_atom_site_fract_y
_atom_site_fract_z
_atom_site_occupancy
Pr1 0.000 0.000 0.000 1
Ho1 0.073 0.500 0.419 1
Tm1 0.212 0.000 0.292 1
Sc1 0.152 0.500 0.894 1
```

# 3
Compound: Pr2Ho4TmSc
Source: Alexandria via LeMat-Bulk
Functional: PBE
Structure: optimized geometry

Results
As for the energy of formation: 4 kJ/mol of atoms.

```
data_Pr2Ho4TmSc
_chemical_formula_sum 'Pr2 Ho4 Tm1 Sc1'
_symmetry_space_group_name_H-M 'P 4/m m m'
_symmetry_Int_Tables_number 123
_symmetry_space_group_name_Hall '-P 4 2'
_cell_length_a 5.019
_cell_length_b 5.019
_cell_length_c 9.945
_cell_angle_alpha 90.00
_cell_angle_beta 90.00
_cell_angle_gamma 90.00
loop_
_atom_site_label
_atom_site_fract_x
_atom_site_fract_y
_atom_site_fract_z
_atom_site_occupancy
Pr1 0.000 0.000 0.000 1
Pr2 0.500 0.500 0.500 1
Ho1 0.000 0.500 0.247 1
Tm1 0.000 0.000 0.500 1
Sc1 0.500 0.500 0.000 1
```

# 4
Compound: PrHo3Tm6Sc2
Source: Alexandria via LeMat-Bulk
Functional: PBE
Structure: optimized geometry

Results
As for the energy of formation: 4 kJ/mol of atoms.

```
data_PrHo3Tm6Sc2
_chemical_formula_sum 'Pr2 Ho6 Tm12 Sc4'
_symmetry_space_group_name_H-M 'C 1 2/m 1'
_symmetry_Int_Tables_number 12
_symmetry_space_group_name_Hall '-C 2y'
_cell_length_a 6.019
_cell_length_b 10.418
_cell_length_c 11.549
_cell_angle_alpha 90.00
_cell_angle_beta 99.97
_cell_angle_gamma 90.00
loop_
_atom_site_label
_atom_site_fract_x
_atom_site_fract_y
_atom_site_fract_z
_atom_site_occupancy
Pr1 0.000 0.000 0.000 1
Ho1 0.000 0.167 0.500 1
Ho2 0.000 0.500 0.500 1
Tm1 0.247 0.500 0.247 1
Tm2 0.249 0.332 0.752 1
Sc1 0.000 0.333 0.000 1
```

# 5
Compound: PrHo4Tm2Sc
Source: Alexandria via LeMat-Bulk
Functional: PBE
Structure: optimized geometry

Results
As for the energy of formation: 43 kJ/mol of atoms.

```
data_PrHo4Tm2Sc
_chemical_formula_sum 'Pr4 Ho16 Tm8 Sc4'
_symmetry_space_group_name_H-M 'C 1 2/c 1'
_symmetry_Int_Tables_number 15
_symmetry_space_group_name_Hall '-C 2yc'
_cell_length_a 13.369
_cell_length_b 13.084
_cell_length_c 6.710
_cell_angle_alpha 90.00
_cell_angle_beta 120.11
_cell_angle_gamma 90.00
loop_
_atom_site_label
_atom_site_fract_x
_atom_site_fract_y
_atom_site_fract_z
_atom_site_occupancy
Pr1 0.000 0.000 0.000 1
Ho1 0.000 0.253 0.005 1
Ho2 0.247 0.493 0.497 1
Tm1 0.000 0.500 0.000 1
Tm2 0.250 0.250 0.000 1
Sc1 0.250 0.250 0.500 1
```

# 6
Compound: PrY5Ho2Sc
Source: Alexandria via LeMat-Bulk
Functional: PBE
Structure: optimized geometry

Results
As for the energy of formation: 16 kJ/mol of atoms.

```
data_PrY5Ho2Sc
_chemical_formula_sum 'Pr4 Y20 Ho8 Sc4'
_symmetry_space_group_name_H-M 'C m c 21'
_symmetry_Int_Tables_number 36
_symmetry_space_group_name_Hall 'C 2c -2'
_cell_length_a 5.579
_cell_length_b 20.844
_cell_length_c 9.954
_cell_angle_alpha 90.00
_cell_angle_beta 90.00
_cell_angle_gamma 90.00
loop_
_atom_site_label
_atom_site_fract_x
_atom_site_fract_y
_atom_site_fract_z
_atom_site_occupancy
Pr1 0.000 0.106 0.000 1
Y1 0.000 0.019 0.688 1
Y2 0.000 0.130 0.397 1
Y3 0.000 0.194 0.712 1
Y4 0.000 0.250 0.052 1
Y5 0.000 0.481 0.413 1
Ho1 0.000 0.375 0.705 1
Ho2 0.000 0.395 0.107 1
Sc1 0.000 0.311 0.394 1
```